# NiSbI2O PBE with a Hubbard U optimized geometry
data_NiSbI2O
_cell_length_a 5.7824
_cell_length_b 5.7824
_cell_length_c 3.6284
_cell_angle_alpha 90.00
_cell_angle_beta 90.00
_cell_angle_gamma 90.00
_space_group_name_H-M_alt 'P 4/m m m'
_space_group_IT_number 123
_space_group_name_Hall '-P 4 2'
loop_
_atom_site_label
_atom_site_fract_x
_atom_site_fract_y
_atom_site_fract_z
Ni1 0.0000 0.0000 0.0000
Sb1 0.5000 0.5000 0.5000
I1 0.0000 0.5000 0.0000
O1 0.0000 0.0000 0.5000
# magnetization: 2.0 μB per cell
# density: 6.2 g cm⁻³
# energy: -2.807 eV/atom